No. 1
# Rb3Sm2ErO6

A geometry-optimized Rb3Sm2ErO6 structure (PBE-GGA, the Alexandria database).

Cell and atoms, written as POSCAR:
```
Rb3Sm2ErO6
1.0
-1.7036 4.1773 4.2222
-0.0305 -6.0144 1.4161
6.8094 1.0667 0.1857
Sm O Rb Er
2 6 3 1
Cartesian
-0.5882 -2.6172 2.3515
-1.1459 0.7801 3.2869
3.9822 1.0996 4.9991
1.0932 -1.8700 0.8249
4.5248 -2.2054 4.0891
5.1434 0.3905 1.6486
0.5506 1.4350 1.7349
-0.0681 -1.1608 4.1755
1.9786 3.0205 3.8497
3.0968 -3.7908 1.9743
2.5377 -0.3852 2.9120
0.0000 0.0000 0.0000
```

Output
Uncorrected formation energy (eV per atom): -2.64
SG: No. 12
Crystal system: monoclinic

***

No. 2
# YCuAgGe

A geometry-optimized YCuAgGe structure (PBE-GGA, the Alexandria database).

Cell and atoms, written as POSCAR:
```
YCuAgGe
1.0
-2.1320 -2.6538 -3.2919
-2.6682 -3.6908 1.2974
-4.7045 0.1845 -0.5079
Ge Ag Y Cu
1 1 1 1
Cartesian
-4.7523 -3.0801 -1.2512
-7.1285 -4.6201 -1.8768
-2.3762 -1.5400 -0.6256
0.0000 0.0000 0.0000
```

Output
ΔH_f (0 K) (eV per atom): -0.27
SG: No. 216
Crystal system: cubic

***

No. 3
# TbLuInGa

A geometry-optimized TbLuInGa structure (PBE-GGA, the Alexandria database).

Cell and atoms, written as POSCAR:
```
TbLuInGa
1.0
5.1580 0.0000 0.0000
2.5790 4.4670 0.0000
2.5790 1.4890 4.2115
Ga Tb In Lu
1 1 1 1
Cartesian
2.5790 1.4890 1.0529
0.0000 0.0000 0.0000
7.7370 4.4670 3.1586
5.1580 2.9780 2.1058
```

Output
ΔH_f (0 K) (eV per atom): -0.48
SG: No. 216
Crystal system: cubic

***

No. 4
# Er8NiIr2

A geometry-optimized Er8NiIr2 structure (PBE-GGA, the Alexandria database).

Cell and atoms, written as POSCAR:
```
Er8NiIr2
1.0
-4.5832 -1.6936 -3.2695
4.2144 3.2337 -5.1830
2.7373 -6.6067 1.9848
Er Ir Ni
8 2 1
Cartesian
0.8039 -3.5186 -4.6649
3.6334 -4.6174 -2.8406
1.7064 -1.5069 -1.7172
-0.6330 -0.5357 -6.8842
-1.4803 -6.1809 -2.7723
-1.0083 -0.4141 -3.5274
-1.3956 -2.9946 -1.6478
4.0206 -2.0381 -4.7193
1.5744 -0.6949 -4.5408
1.0238 -4.3636 -1.8685
6.2031 -3.6487 -3.7309
```

Output
ΔH_f (0 K) (eV per atom): -0.40
SG: No. 8
Crystal system: monoclinic
ΔE to the lowest computed polymorph (meV/atom): 61

***

No. 5
# Pm3InBr3

A geometry-optimized Pm3InBr3 structure (PBE-GGA, the Alexandria database).

Cell and atoms, written as POSCAR:
```
Pm3InBr3
1.0
-5.2639 2.7416 1.3597
-2.3204 -5.3394 1.7832
1.9953 1.0235 5.6608
Br Pm In
3 3 1
Cartesian
-2.6319 1.3708 0.6798
-1.1602 -2.6697 0.8916
0.9976 0.5117 2.8304
-0.1626 -2.1580 3.7220
-1.6343 1.8826 3.5103
-3.7921 -1.2989 1.5714
-2.7945 -0.7872 4.4019
```

Output
Uncorrected formation energy (eV per atom): -1.21
SG: No. 221
Crystal system: cubic

***

No. 6
# Sm2MgI

A geometry-optimized Sm2MgI structure (PBE-GGA, the Alexandria database).

Cell and atoms, written as POSCAR:
```
Sm2MgI
1.0
3.6330 0.0000 0.0000
1.8165 3.1463 0.0000
1.8165 1.0488 11.7681
Mg Sm I
1 2 1
Cartesian
0.0000 0.0000 0.0000
1.8165 1.0488 8.4236
5.4495 3.1463 3.3445
3.6330 2.0975 5.8840
```

Output
Uncorrected formation energy (eV per atom): -0.07
SG: No. 166
Crystal system: trigonal
ΔE to the lowest computed polymorph (meV/atom): 285

***

No. 7
# PaTl2I2Br4

A geometry-optimized PaTl2I2Br4 structure (PBE-GGA, the Alexandria database).

Cell and atoms, written as POSCAR:
```
PaTl2I2Br4
1.0
-2.2196 6.0889 -4.9345
-5.8549 -1.3515 -5.4037
-7.4014 3.1364 0.8298
I Br Pa Tl
2 4 1 2
Cartesian
-3.5648 1.3418 -1.8505
-11.9110 6.5320 -7.6579
-6.1835 1.6348 -5.1749
-6.9573 3.8803 -2.0559
-8.5185 3.9936 -7.4525
-9.2923 6.2391 -4.3335
-1.1098 3.0445 -2.4673
-4.8400 4.7618 -4.6291
-10.6359 3.1121 -4.8793
```

Output
Uncorrected formation energy (eV per atom): -1.10
SG: No. 12
Crystal system: monoclinic

***

No. 8
# KTmP2O7

A geometry-optimized KTmP2O7 structure (PBE-GGA, the Alexandria database).

Cell and atoms, written as POSCAR:
```
KTmP2O7
1.0
10.9350 0.0000 0.0000
0.0000 7.7284 0.0542
0.0000 2.5386 8.3116
O P K Tm
28 8 4 4
Cartesian
10.1711 3.0547 1.6531
10.9308 9.5001 5.9975
5.4632 2.0361 6.5241
8.4601 5.4500 6.3423
2.4749 4.8169 2.0235
4.7036 5.9429 2.5569
7.9527 2.4863 6.3287
5.4718 8.2309 1.8417
4.6201 3.4993 2.0212
6.7052 5.0528 8.1841
7.9425 4.1807 2.1865
10.0876 5.4983 2.1887
2.9926 6.0862 6.1793
2.9823 7.7806 2.0371
9.8821 1.1016 0.0834
8.4498 1.2170 2.1729
9.6974 3.7835 4.0283
0.0043 0.7668 2.3683
1.0529 9.1654 8.2823
2.4852 9.0499 6.1929
1.2376 6.4834 4.3375
6.5205 2.3708 4.2392
4.4146 7.8961 4.1265
4.2299 5.2141 0.1817
6.2314 4.3240 5.8089
0.8474 4.7686 6.1770
6.3150 6.7676 6.3445
0.7639 7.2122 6.7127
9.8380 1.4632 1.5539
3.9560 4.8180 1.6285
1.5115 6.0873 5.7843
9.4236 4.1796 2.5814
1.0970 8.8037 6.8118
6.9790 5.4489 6.7372
4.3705 7.5344 2.6560
6.5645 2.7325 5.7098
7.4100 6.5605 0.6562
1.9425 2.4372 3.5538
8.9925 7.8297 4.8120
3.5250 3.7065 7.7096
4.3861 7.8251 6.2951
6.5489 2.4419 2.0706
9.8536 3.7112 6.2264
1.0814 6.5558 2.1393
```

Output
Uncorrected formation energy (eV per atom): -2.72
SG: No. 14
Crystal system: monoclinic

***

No. 9
# Mg2MnGaH

A geometry-optimized Mg2MnGaH structure (PBE-GGA, the Alexandria database).

Cell and atoms, written as POSCAR:
```
Mg2MnGaH
1.0
-3.9100 0.9243 1.4040
-1.6492 -1.4222 -3.6567
-0.2956 -3.5506 1.5143
Ga Mg Mn H
1 2 1 1
Cartesian
-2.9274 -2.0243 -0.3692
-1.9550 0.4621 0.7020
-0.8246 -0.7111 -1.8283
-0.1478 -1.7753 0.7571
0.0000 0.0000 0.0000
```

Output
SG: No. 123
Crystal system: tetragonal
E_tot (eV for the cell shown): -18.65

***

No. 10
# Pm4ZnBr5

A geometry-optimized Pm4ZnBr5 structure (PBE-GGA, the Alexandria database).

Cell and atoms, written as POSCAR:
```
Pm4ZnBr5
1.0
-2.4328 -0.8207 3.1125
-5.8142 -3.7003 -5.5202
6.6606 -6.7721 0.8052
Pm Br Zn
4 5 1
Cartesian
-1.5948 -8.3546 -3.4495
-0.2333 -10.4219 -0.3153
0.0084 -2.9385 1.8469
-1.3531 -0.8713 -1.2873
-1.4714 -7.6689 -0.5571
1.3872 -5.7400 2.1859
-0.1150 -3.6242 -1.0455
-2.9736 -5.5531 -3.7885
-4.1235 -2.2605 -1.2039
-1.2164 -0.4104 1.5562
```

Output
Uncorrected formation energy (eV per atom): -1.34
SG: No. 12
Crystal system: monoclinic

***

No. 11
# Pm2NpSe3

A geometry-optimized Pm2NpSe3 structure (PBE-GGA, the Alexandria database).

Cell and atoms, written as POSCAR:
```
Pm2NpSe3
1.0
4.0587 0.0002 -0.9249
-0.2099 4.0531 -0.9254
-0.0085 -0.0076 9.3334
Se Pm Np
3 2 1
Cartesian
2.3078 2.4362 0.8076
3.5872 3.7868 6.4269
1.0284 1.0893 4.5634
0.3858 0.4121 1.7437
2.9503 3.1133 3.6274
1.6629 1.7602 7.3521
```

Output
Uncorrected formation energy (eV per atom): -1.59
SG: No. 139
Crystal system: tetragonal

***

No. 12
# TmZr2Ga2

A geometry-optimized TmZr2Ga2 structure (PBE-GGA, the Alexandria database).

Cell and atoms, written as POSCAR:
```
TmZr2Ga2
1.0
3.7453 0.0000 0.0000
0.0000 7.5193 0.0000
0.0000 0.0000 7.5193
Zr Tm Ga
4 2 4
Cartesian
1.8727 2.4414 1.3182
1.8727 6.2011 2.4414
1.8727 5.0779 6.2011
1.8727 1.3182 5.0779
0.0000 3.7597 3.7597
0.0000 0.0000 0.0000
0.0000 0.9092 2.8504
0.0000 2.8504 6.6101
0.0000 4.6689 0.9092
0.0000 6.6101 4.6689
```

Output
ΔH_f (0 K) (eV per atom): -0.49
SG: No. 127
Crystal system: tetragonal